A plane-wave DFT calculation with PBE was carried out for crystalline Er2ZrTl3 at its relaxed geometry.

Output
E_form	-19.2	kJ/mol of atoms

abc: 3.477 3.477 12.573
angles: 90.00 90.00 90.00
Each line ends with the local moment (μB).
Fractional positions:
Tl: 0.000 0.000 0.000  0.00
Tl: 0.000 0.000 0.660  0.00
Tl: 0.000 0.000 0.340  0.00
Er: 0.500 0.500 0.830  0.14
Er: 0.500 0.500 0.170  0.14
Zr: 0.500 0.500 0.500  -0.02



A plane-wave DFT calculation with PBE was carried out for crystalline Nd2Sm5ErTm at its relaxed geometry.

Output
E_form	26.7	kJ/mol of atoms

abc: 8.564 8.564 10.257
angles: 114.67 114.67 90.00
Fractional positions:
Nd: 0.879 0.621 0.000
Nd: 0.379 0.879 0.000
Nd: 0.621 0.121 0.000
Nd: 0.121 0.379 0.000
Er: 0.750 0.750 0.500
Er: 0.250 0.250 0.500
Sm: 0.425 0.361 0.287
Sm: 0.075 0.575 0.713
Sm: 0.639 0.139 0.713
Sm: 0.861 0.925 0.287
Sm: 0.500 0.500 0.000
Sm: 0.000 0.000 0.000
Sm: 0.575 0.639 0.713
Sm: 0.139 0.075 0.713
Sm: 0.925 0.425 0.287
Sm: 0.361 0.861 0.287
Tm: 0.250 0.750 0.500
Tm: 0.750 0.250 0.500



A plane-wave DFT calculation with PBE was carried out for crystalline Ac2Ce3Ga4 at its relaxed geometry.

Output
E_form	-41.3	kJ/mol of atoms

abc: 7.908 8.245 8.251
angles: 90.00 90.00 107.10
Each line ends with the local moment (μB).
Fractional positions:
Ga: 0.877 0.499 0.117  -0.02
Ga: 0.125 0.920 0.462  -0.02
Ga: 0.625 0.920 0.038  -0.02
Ga: 0.375 0.080 0.962  -0.02
Ga: 0.623 0.501 0.617  -0.02
Ga: 0.875 0.080 0.538  -0.02
Ga: 0.377 0.499 0.383  -0.02
Ga: 0.123 0.501 0.883  -0.02
Ce: 0.000 0.500 0.500  0.68
Ce: 0.250 0.246 0.676  0.59
Ce: 0.250 0.754 0.176  0.59
Ce: 0.750 0.754 0.324  0.59
Ce: 0.500 0.500 0.000  0.68
Ce: 0.750 0.246 0.824  0.59
Ac: 0.067 0.190 0.174  0.02
Ac: 0.567 0.190 0.326  0.02
Ac: 0.933 0.810 0.826  0.02
Ac: 0.433 0.810 0.674  0.02



A plane-wave DFT calculation with PBE was carried out for crystalline CsCuMo2 at its relaxed geometry.

Output
offset from the most stable computed form	283	meV/atom
E_form	187.0	kJ/mol of atoms

abc: 4.642 4.642 4.642
angles: 60.00 60.00 60.00
Fractional positions:
Mo: 0.250 0.250 0.250
Mo: 0.750 0.750 0.750
Cs: 0.500 0.500 0.500
Cu: 0.000 0.000 0.000



A plane-wave DFT calculation with PBE was carried out for crystalline TaAlZn2Hg at its relaxed geometry.

Output
E_form	109.4	kJ/mol of atoms

abc: 4.567 4.982 4.567
angles: 90.00 90.00 90.00
Each line ends with the local moment (μB).
Fractional positions:
Hg: 0.000 0.500 0.000  0.00
Zn: 0.000 0.000 0.500  -0.01
Zn: 0.500 0.000 0.000  0.00
Al: 0.000 0.000 0.000  0.00
Ta: 0.500 0.500 0.500  0.33



A plane-wave DFT calculation with PBE was carried out for crystalline Rb2LiY at its relaxed geometry.

Output
E_form	68.1	kJ/mol of atoms

abc: 10.535 10.535 8.291
angles: 50.56 50.56 90.00
Each line ends with the local moment (μB).
Fractional positions:
Y: 0.000 0.000 0.000  0.34
Y: 0.750 0.250 0.500  0.34
Li: 0.500 0.500 0.000  0.00
Li: 0.250 0.750 0.500  0.00
Rb: 0.875 0.828 0.750  0.01
Rb: 0.375 0.422 0.750  0.01
Rb: 0.172 0.625 0.250  0.01
Rb: 0.578 0.125 0.250  0.01



A plane-wave DFT calculation with PBE was carried out for crystalline CaDyNiPt at its relaxed geometry.

Output
E_form	-61.6	kJ/mol of atoms

abc: 4.864 4.864 4.864
angles: 60.00 60.00 60.00
Fractional positions:
Pt: 0.750 0.750 0.750
Dy: 0.000 0.000 0.000
Ni: 0.250 0.250 0.250
Ca: 0.500 0.500 0.500



A plane-wave DFT calculation with PBE was carried out for crystalline TbInRh2 at its relaxed geometry.

Output
E_form	-71.7	kJ/mol of atoms

abc: 4.700 4.711 4.711
angles: 59.85 60.07 60.07
Fractional positions:
Tb: 0.750 0.750 0.750
Rh: 0.500 0.500 0.500
Rh: 0.000 0.000 0.000
In: 0.250 0.250 0.250



A plane-wave DFT calculation with PBE was carried out for crystalline TcSO at its relaxed geometry.

Output
offset from the most stable computed form	101	meV/atom
ΔE_f (raw)	-0.81	eV/atom

abc: 5.360 2.966 12.968
angles: 90.00 113.71 90.00
Fractional positions:
Tc: 0.454 0.500 0.554
Tc: 0.454 0.000 0.054
Tc: 0.042 0.000 0.558
Tc: 0.042 0.500 0.058
S: 0.187 0.000 0.414
S: 0.187 0.500 0.914
S: 0.711 0.500 0.434
S: 0.711 0.000 0.934
O: 0.288 0.500 0.671
O: 0.288 0.000 0.171
O: 0.746 0.500 0.131
O: 0.746 0.000 0.631



A plane-wave DFT calculation with PBE was carried out for crystalline Tb4DyHo2 at its relaxed geometry.

Output
offset from the most stable computed form	0	meV/atom
E_form	3.6	kJ/mol of atoms

abc: 3.511 9.374 8.522
angles: 121.62 78.15 111.96
Fractional positions:
Tb: 0.410 0.706 0.592
Tb: 0.590 0.294 0.408
Tb: 0.806 0.165 0.720
Tb: 0.194 0.835 0.280
Ho: 0.641 0.570 0.859
Ho: 0.359 0.430 0.141
Dy: 0.000 0.000 0.000



A plane-wave DFT calculation with PBE was carried out for crystalline PmErPt10 at its relaxed geometry.

Output
E_form	-66.8	kJ/mol of atoms

abc: 4.457 5.385 9.275
angles: 90.00 90.00 90.00
Fractional positions:
Pt: 0.500 0.251 0.252
Pt: 0.500 0.000 0.500
Pt: 0.000 0.500 0.829
Pt: 0.000 0.000 0.336
Pt: 0.000 0.000 0.664
Pt: 0.500 0.500 0.000
Pt: 0.500 0.749 0.252
Pt: 0.000 0.500 0.171
Pt: 0.500 0.251 0.748
Pt: 0.500 0.749 0.748
Er: 0.000 0.500 0.500
Pm: 0.000 0.000 0.000



A plane-wave DFT calculation with PBE was carried out for crystalline Hf3Ga3Os at its relaxed geometry.

Output
E_form	-44.8	kJ/mol of atoms

abc: 3.679 5.402 13.421
angles: 90.00 90.00 109.90
Fractional positions:
Hf: 0.515 0.030 0.250
Hf: 0.180 0.361 0.906
Hf: 0.820 0.639 0.094
Hf: 0.820 0.639 0.406
Hf: 0.485 0.970 0.750
Hf: 0.180 0.361 0.594
Ga: 0.250 0.499 0.250
Ga: 0.099 0.197 0.394
Ga: 0.901 0.803 0.894
Ga: 0.750 0.501 0.750
Ga: 0.901 0.803 0.606
Ga: 0.099 0.197 0.106
Os: 0.500 0.000 0.000
Os: 0.500 0.000 0.500



Across the entries above, raw total energy takes the values -25.97, -79.34, -83.95, -18.86, -12.78, -14.98, -20.98, -25.04, -87.56, -32.01, -78.03, -106.84 eV per cell, respectively.